[1]
Compound: CaHfTh2
Source: Alexandria via LeMat-Bulk
Functional: GGA-PBE
Structure: optimized geometry

Unit cell a=3.4117 b=3.4117 c=37.3530 alpha=90.00 beta=90.00 gamma=120.00
With the nearest neighbours (Å) after each atom.
Space group R-3m (No. 166, hexagonal axes)
Symmetry-distinct sites (fractional):
Ca: 0.0000 0.0000 0.0000 x3  6 Ca 3.41, 2 Th 3.47
Hf: 0.0000 0.0000 0.5000 x3  6 Th 3.38, 6 Hf 3.41
Th: 0.0000 0.0000 0.0930 x6  3 Hf 3.38, 6 Th 3.41, 1 Ca 3.47

- energy of formation (eV/f.u.) = 1.26

=====

[2]
Compound: BaMn2Mo
Source: Alexandria via LeMat-Bulk
Functional: GGA-PBE
Structure: optimized geometry

Unit cell a=4.9961 b=4.9961 c=3.2515 alpha=90.00 beta=90.00 gamma=90.00
With the nearest neighbours (Å) after each atom.
Space group P4/mmm (No. 123)
Symmetry-distinct sites (fractional):
Ba: 0.0000 0.0000 0.0000 x1  8 Mn 2.98, 2 Ba 3.25
Mn: 0.0000 0.5000 0.5000 x2  4 Ba 2.98, 4 Mo 2.98, 2 Mn 3.25
Mo: 0.5000 0.5000 0.0000 x1  8 Mn 2.98, 2 Mo 3.25

- energy of formation (eV/f.u.) = 4.55
- polymorph energy (0 for the lowest one) (eV/atom) = 0.582

=====

[3]
Compound: TbPuTc
Source: Alexandria via LeMat-Bulk
Functional: GGA-PBE
Structure: optimized geometry

Unit cell a=4.6590 b=4.6590 c=3.5776 alpha=90.00 beta=90.00 gamma=120.00
With the nearest neighbours (Å) after each atom.
Space group P-6m2 (No. 187)
Symmetry-distinct sites (fractional):
Tb: 0.0000 0.0000 0.0000 x1  6 Tc 3.23, 6 Pu 3.23, 2 Tb 3.58
Pu: 0.3333 0.6667 0.5000 x1  3 Tc 2.69
Tc: 0.6667 0.3333 0.5000 x1  3 Pu 2.69

- energy of formation (eV/f.u.) = 0.25
- polymorph energy (0 for the lowest one) (eV/atom) = 0.052

=====

[4]
Compound: ZnCd2Ag8
Source: Alexandria via LeMat-Bulk
Functional: GGA-PBE
Structure: optimized geometry

Unit cell a=14.7099 b=4.2888 c=6.6584 alpha=90.00 beta=108.34 gamma=90.00
With the nearest neighbours (Å) after each atom.
Space group C2/m (No. 12)
Symmetry-distinct sites (fractional):
Zn: 0.0000 0.0000 0.0000 x2  12 Ag 2.81-3.01
Cd: 0.2235 0.5000 0.6407 x4  10 Ag 2.88-3.00, 2 Cd 3.10
Ag: 0.0434 0.5000 0.7272 x4  9 Ag 2.85-3.07, 1 Cd 2.88, 2 Zn 3.01
Ag: 0.0882 0.0000 0.4415 x4  1 Zn 2.81, 8 Ag 2.87-3.07, 3 Cd 2.94-2.99
Ag: 0.1335 0.5000 0.1740 x4  7 Ag 2.85-3.00, 2 Zn 2.89, 3 Cd 2.97-2.98
Ag: 0.1774 0.0000 0.9089 x4  1 Zn 2.86, 3 Cd 2.89-3.00, 8 Ag 2.91-3.00

- energy of formation (eV/f.u.) = -0.21
- polymorph energy (0 for the lowest one) (eV/atom) = 0.000

=====

[5]
Compound: Ba2TiBi2
Source: Alexandria via LeMat-Bulk
Functional: GGA-PBE
Structure: optimized geometry

Unit cell a=10.0286 b=10.0286 c=3.8872 alpha=90.00 beta=90.00 gamma=90.00
With the nearest neighbours (Å) after each atom.
Space group P4/mbm (No. 127)
Symmetry-distinct sites (fractional):
Ba: 0.1299 0.3701 0.0000 x4  6 Bi 3.40-3.63, 1 Ba 3.68
Ti: 0.0000 0.0000 0.0000 x2  2 Ti 3.89, 4 Ba 3.93, 8 Bi 4.19
Bi: 0.1730 0.6730 0.5000 x4  6 Ba 3.40-3.63

- energy of formation (eV/f.u.) = 0.19
- polymorph energy (0 for the lowest one) (eV/atom) = 0.411

=====

[6]
Compound: Tb3UAg3Se8
Source: Alexandria via LeMat-Bulk
Functional: GGA-PBE
Structure: optimized geometry

Unit cell a=13.7035 b=8.3774 c=8.0529 alpha=90.00 beta=122.43 gamma=90.00
With the nearest neighbours (Å) after each atom.
Space group C2/m (No. 12)
Symmetry-distinct sites (fractional):
Tb: 0.0000 0.0000 0.0000 x2  6 Se 2.88-2.90
Tb: 0.2500 0.2500 0.5000 x4  6 Se 2.88-2.90
U: 0.0000 0.5000 0.0000 x2  6 Se 2.86
Ag: 0.0000 0.5000 0.5000 x2  6 Se 2.90-2.93
Ag: 0.2500 0.2500 0.0000 x4  6 Se 2.91-2.93
Se: 0.0015 0.2520 0.2453 x8  1 U 2.86, 2 Tb 2.88, 2 Ag 2.91-2.93
Se: 0.2465 0.5000 0.2508 x4  1 U 2.86, 2 Tb 2.88, 2 Ag 2.93
Se: 0.2501 0.0000 0.2512 x4  3 Ag 2.90-2.91, 3 Tb 2.90

- uncorrected formation energy (meV per atom) = -1155

=====

[7]
Compound: Na3Er2TmSe6
Source: Alexandria via LeMat-Bulk
Functional: GGA-PBE
Structure: optimized geometry

Unit cell a=7.1104 b=12.3164 c=7.3947 alpha=90.00 beta=108.70 gamma=90.00
With the nearest neighbours (Å) after each atom.
Space group C2/m (No. 12)
Symmetry-distinct sites (fractional):
Na: 0.0000 0.0000 0.0000 x2  6 Se 3.04-3.05
Na: 0.0000 0.3330 0.0000 x4  6 Se 3.04-3.05
Er: 0.0000 0.1666 0.5000 x4  6 Se 2.86
Tm: 0.0000 0.5000 0.5000 x2  6 Se 2.85
Se: 0.2420 0.3338 0.7274 x8  1 Tm 2.85, 2 Er 2.86, 3 Na 3.04-3.05
Se: 0.2435 0.0000 0.7274 x4  1 Tm 2.85, 2 Er 2.86, 3 Na 3.04-3.05

- uncorrected formation energy (meV per atom) = -1703

=====

[8]
Compound: ZnCu3Ni3
Source: Alexandria via LeMat-Bulk
Functional: GGA-PBE
Structure: optimized geometry

Unit cell a=6.7221 b=6.7221 c=4.1650 alpha=90.00 beta=90.00 gamma=120.00
With the nearest neighbours (Å) after each atom.
Space group P6_3/m (No. 176)
Symmetry-distinct sites (fractional):
Zn: 0.3333 0.6667 0.2500 x2  9 Cu 2.53-2.56, 3 Ni 2.58
Cu: 0.0924 0.6234 0.7500 x6  5 Ni 2.50-2.59, 3 Zn 2.53-2.56, 4 Cu 2.56-2.59
Ni: 0.0441 0.8121 0.2500 x6  6 Ni 2.48-2.53, 5 Cu 2.50-2.59, 1 Zn 2.58

- energy of formation (eV/f.u.) = -0.24
- polymorph energy (0 for the lowest one) (eV/atom) = 0.000

=====

[9]
Compound: FeTc2Cl
Source: Alexandria via LeMat-Bulk
Functional: GGA-PBE
Structure: optimized geometry

Unit cell a=5.3097 b=5.3097 c=10.4124 alpha=90.00 beta=90.00 gamma=90.00
With the nearest neighbours (Å) after each atom.
Space group I-42d (No. 122)
Symmetry-distinct sites (fractional):
Fe: 0.0000 0.0000 0.0000 x4  4 Tc 2.22
Tc: 0.2275 0.2500 0.1250 x8  2 Fe 2.22, 2 Cl 2.36
Cl: 0.0000 0.0000 0.5000 x4  4 Tc 2.36

- uncorrected formation energy (meV per atom) = 968
- polymorph energy (0 for the lowest one) (eV/atom) = 0.722

=====

[10]
Compound: PrZnCd
Source: Alexandria via LeMat-Bulk
Functional: GGA-PBE
Structure: optimized geometry

Unit cell a=6.8347 b=6.8347 c=6.8347 alpha=90.00 beta=90.00 gamma=90.00
With the nearest neighbours (Å) after each atom.
Space group F-43m (No. 216)
Symmetry-distinct sites (fractional):
Pr: 0.0000 0.0000 0.0000 x4  4 Zn 2.96
Zn: 0.2500 0.2500 0.7500 x4  4 Cd 2.96, 4 Pr 2.96
Cd: 0.0000 0.0000 0.5000 x4  4 Zn 2.96

- energy of formation (eV/f.u.) = -0.62

=====

[11]
Compound: CuSi3W
Source: Alexandria via LeMat-Bulk
Functional: GGA-PBE
Structure: optimized geometry

Unit cell a=4.3860 b=4.3860 c=4.3860 alpha=90.00 beta=90.00 gamma=90.00
With the nearest neighbours (Å) after each atom.
Space group Pm-3m (No. 221)
Symmetry-distinct sites (fractional):
Cu: 0.0000 0.0000 0.0000 x1  6 Si 2.19
Si: 0.0000 0.0000 0.5000 x3  2 Cu 2.19
W: 0.5000 0.5000 0.5000 x1  12 Si 3.10

- uncorrected formation energy (meV per atom) = 1324
- polymorph energy (0 for the lowest one) (eV/atom) = 0.492

=====

[12]
Compound: SbN3F
Source: Alexandria via LeMat-Bulk
Functional: GGA-PBE
Structure: optimized geometry

Unit cell a=4.0778 b=4.0778 c=4.0778 alpha=90.00 beta=90.00 gamma=90.00
With the nearest neighbours (Å) after each atom.
Space group Pm-3m (No. 221)
Symmetry-distinct sites (fractional):
Sb: 0.0000 0.0000 0.0000 x1  6 N 2.04
N: 0.0000 0.0000 0.5000 x3  2 Sb 2.04
F: 0.5000 0.5000 0.5000 x1  12 N 2.88

- uncorrected formation energy (meV per atom) = 1770

=====

[13]
Compound: Ir3RuRh
Source: Alexandria via LeMat-Bulk
Functional: GGA-PBE
Structure: optimized geometry

Unit cell a=5.3932 b=8.1006 c=7.4032 alpha=90.00 beta=90.62 gamma=90.00
With the nearest neighbours (Å) after each atom.
Space group P2_1/c (No. 14)
Symmetry-distinct sites (fractional):
Ir: 0.1050 0.0900 0.3802 x4  4 Ir 2.57-2.72, 3 Ru 2.59-2.78, 2 Rh 2.70-2.75
Ir: 0.1267 0.0830 0.8679 x4  6 Ir 2.62-2.75, 3 Ru 2.65-2.72, 2 Rh 2.66-2.72
Ir: 0.3828 0.5784 0.6374 x4  3 Rh 2.55-2.71, 2 Ru 2.64-2.72, 5 Ir 2.65-2.75
Ru: 0.1330 0.7474 0.3750 x4  2 Rh 2.58-2.81, 8 Ir 2.59-2.78
Rh: 0.3880 0.2493 0.1268 x4  7 Ir 2.55-2.75, 2 Ru 2.58-2.81

- energy of formation (eV/f.u.) = 1.59
- polymorph energy (0 for the lowest one) (eV/atom) = 0.000